(1)
Material: HfSnIr3
Method: DFT, PBE-GGA
State: relaxed

```
HfSnIr3
1.0
4.7782 0.0000 0.0000
0.0000 4.7782 0.0000
0.0000 0.0000 4.7782
Hf Sn Ir
1 1 3
direct
0.0000 0.0000 0.0000
0.5000 0.5000 0.5000
0.0000 0.5000 0.5000
0.5000 0.0000 0.5000
0.5000 0.5000 0.0000
```

Results
Space group: Pm-3m
E_form, eV/f.u.: 6.28

=====

(2)
Material: SrMo2Br
Method: DFT, PBE-GGA
State: relaxed

```
SrMo2Br
1.0
3.3985 0.0000 0.0000
0.0000 3.3985 0.0000
0.0000 0.0000 8.4716
Sr Mo Br
1 2 1
direct
0.0000 0.0000 0.0000
0.0000 0.0000 0.5843
0.5000 0.5000 0.6994
0.5000 0.5000 0.2357
```

Results
Space group: P4mm
Formation energy from raw total energies, eV per atom: 0.148

=====

no.,energy above the lowest structure with this stoichiometry (kJ/mol of atoms),D(E_F) (states/eV per atom),calculated volume (A^3/atom)
1,3.9,1.698,21.82
2,6.2,0.605,24.46